No. 1
La2Tb2PrY4 after structural relaxation. Source: Alexandria, functional PBE.

Values from the calculation:
Crystal system: monoclinic
Energy of formation from the pure elements, eV per formula unit: -0.1

Cell and atoms, written as CIF:
```
data_La2Tb2PrY4
_cell_length_a 18.963
_cell_length_b 3.657
_cell_length_c 9.690
_cell_angle_alpha 90.00
_cell_angle_beta 115.76
_cell_angle_gamma 90.00
_space_group_name_H-M_alt 'C 1 2/m 1'
_space_group_IT_number 12
_space_group_name_Hall '-C 2y'
loop_
_atom_site_label
_atom_site_fract_x
_atom_site_fract_y
_atom_site_fract_z
La1 0.167 0.000 0.498
Tb1 0.148 0.500 0.163
Pr1 0.000 0.500 0.500
Y1 0.020 0.000 0.838
Y2 0.186 0.500 0.837
```


No. 2
HgH4Br3N after structural relaxation. Source: Alexandria, functional PBE.

Values from the calculation:
Energy, eV per atom: -3.532
Crystal system: triclinic

Cell and atoms, written as CIF:
```
data_HgH4Br3N
_cell_length_a 6.763
_cell_length_b 7.223
_cell_length_c 8.581
_cell_angle_alpha 90.25
_cell_angle_beta 104.42
_cell_angle_gamma 91.22
_space_group_name_H-M_alt 'P 1'
_space_group_IT_number 1
_space_group_name_Hall 'P 1'
loop_
_atom_site_label
_atom_site_fract_x
_atom_site_fract_y
_atom_site_fract_z
Hg1 0.000 0.000 0.000
Hg2 0.034 0.492 0.474
H1 0.399 0.895 0.417
H2 0.484 0.924 0.621
H3 0.487 0.105 0.499
H4 0.539 0.425 0.835
H5 0.634 0.616 0.945
H6 0.637 0.407 0.039
H7 0.651 0.927 0.507
H8 0.791 0.444 0.916
Br1 0.081 0.297 0.863
Br2 0.182 0.744 0.182
Br3 0.437 0.424 0.537
Br4 0.592 0.933 0.919
Br5 0.827 0.240 0.291
Br6 0.998 0.795 0.620
N1 0.504 0.962 0.510
N2 0.649 0.473 0.935
```


No. 3
Pu2AsF after structural relaxation. Source: Alexandria, functional PBE.

Values from the calculation:
Uncorrected formation energy, eV per atom: -0.598
Crystal system: trigonal
Energy relative to the lowest polymorph listed for this composition, meV/atom: 785

Cell and atoms, written as CIF:
```
data_Pu2AsF
_cell_length_a 4.2089
_cell_length_b 4.2089
_cell_length_c 13.9875
_cell_angle_alpha 90.00
_cell_angle_beta 90.00
_cell_angle_gamma 120.00
_space_group_name_H-M_alt 'R -3 m'
_space_group_IT_number 166
_space_group_name_Hall '-R 3 2"'
loop_
_atom_site_label
_atom_site_fract_x
_atom_site_fract_y
_atom_site_fract_z
Pu1 0.0000 0.0000 0.2008
As1 0.0000 0.0000 0.0000
F1 0.0000 0.0000 0.5000
```


No. 4
Ac5ZnHg4 after structural relaxation. Source: Alexandria, functional PBE.

Values from the calculation:
Crystal system: tetragonal
Energy of formation from the pure elements, eV per formula unit: -4.3

Cell and atoms, written as CIF:
```
data_Ac5ZnHg4
_cell_length_a 4.012
_cell_length_b 4.012
_cell_length_c 20.165
_cell_angle_alpha 90.00
_cell_angle_beta 90.00
_cell_angle_gamma 90.00
_space_group_name_H-M_alt 'P 4/m m m'
_space_group_IT_number 123
_space_group_name_Hall '-P 4 2'
loop_
_atom_site_label
_atom_site_fract_x
_atom_site_fract_y
_atom_site_fract_z
Ac1 0.000 0.000 0.000
Ac2 0.000 0.000 0.203
Ac3 0.000 0.000 0.408
Zn1 0.500 0.500 0.500
Hg1 0.500 0.500 0.101
Hg2 0.500 0.500 0.305
```


No. 5
KCo3I after structural relaxation. Source: Alexandria, functional PBE.

Values from the calculation:
Uncorrected formation energy, eV per atom: 2.315
Crystal system: cubic
Energy relative to the lowest polymorph listed for this composition, meV/atom: 1093

Cell and atoms, written as CIF:
```
data_KCo3I
_cell_length_a 4.898
_cell_length_b 4.898
_cell_length_c 4.898
_cell_angle_alpha 90.00
_cell_angle_beta 90.00
_cell_angle_gamma 90.00
_space_group_name_H-M_alt 'P m -3 m'
_space_group_IT_number 221
_space_group_name_Hall '-P 4 2 3'
loop_
_atom_site_label
_atom_site_fract_x
_atom_site_fract_y
_atom_site_fract_z
K1 0.000 0.000 0.000
Co1 0.000 0.000 0.500
I1 0.500 0.500 0.500
```


No. 6
PmPr2Y2Tm after structural relaxation. Source: Alexandria, functional PBE.

Values from the calculation:
Crystal system: orthorhombic
Energy of formation from the pure elements, eV per formula unit: 0.6

Cell and atoms, written as CIF:
```
data_PmPr2Y2Tm
_cell_length_a 6.163
_cell_length_b 18.489
_cell_length_c 3.588
_cell_angle_alpha 90.00
_cell_angle_beta 90.00
_cell_angle_gamma 90.00
_space_group_name_H-M_alt 'P n n m'
_space_group_IT_number 58
_space_group_name_Hall '-P 2 2n'
loop_
_atom_site_label
_atom_site_fract_x
_atom_site_fract_y
_atom_site_fract_z
Pm1 0.000 0.000 0.000
Pr1 0.165 0.346 0.500
Y1 0.163 0.158 0.500
Tm1 0.000 0.500 0.000
```


No. 7
Li5Pm3Ge2 after structural relaxation. Source: Alexandria, functional PBE.

Values from the calculation:
Crystal system: orthorhombic
Energy of formation from the pure elements, eV per formula unit: -2.6

Cell and atoms, written as CIF:
```
data_Li5Pm3Ge2
_cell_length_a 12.086
_cell_length_b 12.890
_cell_length_c 5.942
_cell_angle_alpha 90.00
_cell_angle_beta 90.00
_cell_angle_gamma 90.00
_space_group_name_H-M_alt 'I b a m'
_space_group_IT_number 72
_space_group_name_Hall '-I 2 2c'
loop_
_atom_site_label
_atom_site_fract_x
_atom_site_fract_y
_atom_site_fract_z
Li1 0.000 0.000 0.250
Li2 0.118 0.142 0.000
Li3 0.248 0.000 0.250
Pm1 0.000 0.500 0.250
Pm2 0.129 0.252 0.500
Ge1 0.138 0.340 0.000
```


No. 8
CrSi3Pb after structural relaxation. Source: Alexandria, functional PBE.

Values from the calculation:
Uncorrected formation energy, eV per atom: 0.455
Crystal system: cubic
Energy relative to the lowest polymorph listed for this composition, meV/atom: 0

Cell and atoms, written as CIF:
```
data_CrSi3Pb
_cell_length_a 4.606
_cell_length_b 4.606
_cell_length_c 4.606
_cell_angle_alpha 90.00
_cell_angle_beta 90.00
_cell_angle_gamma 90.00
_space_group_name_H-M_alt 'P m -3 m'
_space_group_IT_number 221
_space_group_name_Hall '-P 4 2 3'
loop_
_atom_site_label
_atom_site_fract_x
_atom_site_fract_y
_atom_site_fract_z
Cr1 0.000 0.000 0.000
Si1 0.000 0.000 0.500
Pb1 0.500 0.500 0.500
```


No. 9
Pm2Ho2GaIr4 after structural relaxation. Source: Alexandria, functional PBE.

Values from the calculation:
Crystal system: tetragonal
Energy of formation from the pure elements, eV per formula unit: -2.9

Cell and atoms, written as CIF:
```
data_Pm2Ho2GaIr4
_cell_length_a 6.575
_cell_length_b 6.575
_cell_length_c 8.963
_cell_angle_alpha 90.00
_cell_angle_beta 90.00
_cell_angle_gamma 90.00
_space_group_name_H-M_alt 'I 4/m m m'
_space_group_IT_number 139
_space_group_name_Hall '-I 4 2'
loop_
_atom_site_label
_atom_site_fract_x
_atom_site_fract_y
_atom_site_fract_z
Pm1 0.000 0.000 0.192
Ho1 0.000 0.500 0.250
Ga1 0.000 0.000 0.500
Ir1 0.240 0.240 0.000
```


No. 10
LiGa6Rh2 after structural relaxation. Source: Alexandria, functional PBE.

Values from the calculation:
Crystal system: monoclinic
Energy of formation from the pure elements, eV per formula unit: -3.6
Energy relative to the lowest polymorph listed for this composition, meV/atom: 0

Cell and atoms, written as CIF:
```
data_LiGa6Rh2
_cell_length_a 12.243
_cell_length_b 4.094
_cell_length_c 7.095
_cell_angle_alpha 90.00
_cell_angle_beta 124.37
_cell_angle_gamma 90.00
_space_group_name_H-M_alt 'C 1 2/m 1'
_space_group_IT_number 12
_space_group_name_Hall '-C 2y'
loop_
_atom_site_label
_atom_site_fract_x
_atom_site_fract_y
_atom_site_fract_z
Li1 0.000 0.000 0.000
Ga1 0.078 0.000 0.718
Ga2 0.096 0.500 0.292
Ga3 0.240 0.500 0.724
Rh1 0.159 0.500 0.998
```


No. 11
Sm4CdPd12 after structural relaxation. Source: Alexandria, functional PBE.

Values from the calculation:
Crystal system: cubic
Energy of formation from the pure elements, eV per formula unit: -12.8

Cell and atoms, written as CIF:
```
data_Sm4CdPd12
_cell_length_a 8.629
_cell_length_b 8.629
_cell_length_c 8.629
_cell_angle_alpha 90.00
_cell_angle_beta 90.00
_cell_angle_gamma 90.00
_space_group_name_H-M_alt 'I m -3 m'
_space_group_IT_number 229
_space_group_name_Hall '-I 4 2 3'
loop_
_atom_site_label
_atom_site_fract_x
_atom_site_fract_y
_atom_site_fract_z
Sm1 0.250 0.250 0.250
Cd1 0.000 0.000 0.000
Pd1 0.000 0.000 0.303
Pd2 0.000 0.250 0.500
```


No. 12
Zr5TcOs4 after structural relaxation. Source: Alexandria, functional PBE.

Values from the calculation:
Crystal system: tetragonal
Energy of formation from the pure elements, eV per formula unit: -5.1

Cell and atoms, written as CIF:
```
data_Zr5TcOs4
_cell_length_a 3.283
_cell_length_b 3.283
_cell_length_c 16.479
_cell_angle_alpha 90.00
_cell_angle_beta 90.00
_cell_angle_gamma 90.00
_space_group_name_H-M_alt 'P 4/m m m'
_space_group_IT_number 123
_space_group_name_Hall '-P 4 2'
loop_
_atom_site_label
_atom_site_fract_x
_atom_site_fract_y
_atom_site_fract_z
Zr1 0.000 0.000 0.000
Zr2 0.000 0.000 0.201
Zr3 0.000 0.000 0.402
Tc1 0.500 0.500 0.500
Os1 0.500 0.500 0.100
Os2 0.500 0.500 0.299
```


No. 13
TbDy2Lu after structural relaxation. Source: Alexandria, functional PBE.

Values from the calculation:
Crystal system: trigonal
Energy of formation from the pure elements, eV per formula unit: 0.1
Energy relative to the lowest polymorph listed for this composition, meV/atom: 0

Cell and atoms, written as CIF:
```
data_TbDy2Lu
_cell_length_a 3.5217
_cell_length_b 3.5217
_cell_length_c 34.3618
_cell_angle_alpha 90.00
_cell_angle_beta 90.00
_cell_angle_gamma 120.00
_space_group_name_H-M_alt 'R -3 m'
_space_group_IT_number 166
_space_group_name_Hall '-R 3 2"'
loop_
_atom_site_label
_atom_site_fract_x
_atom_site_fract_y
_atom_site_fract_z
Tb1 0.0000 0.0000 0.0000
Dy1 0.0000 0.0000 0.2491
Lu1 0.0000 0.0000 0.5000
```


No. 14
TbHgPd3 after structural relaxation. Source: Alexandria, functional PBE.

Values from the calculation:
Crystal system: orthorhombic
Energy of formation from the pure elements, eV per formula unit: -2.7
Energy relative to the lowest polymorph listed for this composition, meV/atom: 0

Cell and atoms, written as CIF:
```
data_TbHgPd3
_cell_length_a 4.209
_cell_length_b 8.557
_cell_length_c 5.756
_cell_angle_alpha 90.00
_cell_angle_beta 90.00
_cell_angle_gamma 90.00
_space_group_name_H-M_alt 'P m c 21'
_space_group_IT_number 26
_space_group_name_Hall 'P 2c -2'
loop_
_atom_site_label
_atom_site_fract_x
_atom_site_fract_y
_atom_site_fract_z
Tb1 0.000 0.167 0.000
Hg1 0.500 0.360 0.289
Pd1 0.000 0.167 0.507
Pd2 0.500 0.006 0.256
Pd3 0.500 0.326 0.770
```


No. 15
Er6Ru2Rh after structural relaxation. Source: Alexandria, functional PBE.

Values from the calculation:
Crystal system: monoclinic
Energy of formation from the pure elements, eV per formula unit: -3.9
Energy relative to the lowest polymorph listed for this composition, meV/atom: 25

Cell and atoms, written as CIF:
```
data_Er6Ru2Rh
_cell_length_a 6.551
_cell_length_b 7.229
_cell_length_c 11.206
_cell_angle_alpha 90.00
_cell_angle_beta 123.29
_cell_angle_gamma 90.00
_space_group_name_H-M_alt 'P 1 21/c 1'
_space_group_IT_number 14
_space_group_name_Hall '-P 2ybc'
loop_
_atom_site_label
_atom_site_fract_x
_atom_site_fract_y
_atom_site_fract_z
Er1 0.074 0.039 0.239
Er2 0.221 0.670 0.072
Er3 0.396 0.170 0.073
Ru1 0.315 0.135 0.781
Rh1 0.500 0.000 0.500
```


No. 16
Pu2AuN after structural relaxation. Source: Alexandria, functional PBE.

Values from the calculation:
Uncorrected formation energy, eV per atom: -0.739
Crystal system: orthorhombic

Cell and atoms, written as CIF:
```
data_Pu2AuN
_cell_length_a 7.243
_cell_length_b 4.279
_cell_length_c 10.482
_cell_angle_alpha 90.00
_cell_angle_beta 90.00
_cell_angle_gamma 90.00
_space_group_name_H-M_alt 'P n m a'
_space_group_IT_number 62
_space_group_name_Hall '-P 2ac 2n'
loop_
_atom_site_label
_atom_site_fract_x
_atom_site_fract_y
_atom_site_fract_z
Pu1 0.131 0.250 0.226
Pu2 0.164 0.250 0.558
Au1 0.125 0.250 0.884
N1 0.044 0.750 0.602
```


No. 17
As2IrPbSe after structural relaxation. Source: Alexandria, functional PBE.

Values from the calculation:
Uncorrected formation energy, eV per atom: 0.286
Crystal system: tetragonal
Energy relative to the lowest polymorph listed for this composition, meV/atom: 0

Cell and atoms, written as CIF:
```
data_As2IrPbSe
_cell_length_a 4.726
_cell_length_b 4.726
_cell_length_c 5.583
_cell_angle_alpha 90.00
_cell_angle_beta 90.00
_cell_angle_gamma 90.00
_space_group_name_H-M_alt 'P 4/m m m'
_space_group_IT_number 123
_space_group_name_Hall '-P 4 2'
loop_
_atom_site_label
_atom_site_fract_x
_atom_site_fract_y
_atom_site_fract_z
As1 0.000 0.500 0.000
Ir1 0.000 0.000 0.000
Pb1 0.500 0.500 0.500
Se1 0.000 0.000 0.500
```


No. 18
Fe2PtC after structural relaxation. Source: Alexandria, functional PBE.

Values from the calculation:
Crystal system: tetragonal
Energy of formation from the pure elements, eV per formula unit: 1.3

Cell and atoms, written as CIF:
```
data_Fe2PtC
_cell_length_a 6.191
_cell_length_b 6.191
_cell_length_c 4.781
_cell_angle_alpha 90.00
_cell_angle_beta 90.00
_cell_angle_gamma 90.00
_space_group_name_H-M_alt 'I -4 2 d'
_space_group_IT_number 122
_space_group_name_Hall 'I -4 2bw'
loop_
_atom_site_label
_atom_site_fract_x
_atom_site_fract_y
_atom_site_fract_z
Fe1 0.152 0.250 0.125
Pt1 0.000 0.000 0.500
C1 0.000 0.000 0.000
```


No. 19
ScAlOF2 after structural relaxation. Source: Alexandria, functional PBE.

Values from the calculation:
Uncorrected formation energy, eV per atom: -2.229
Crystal system: tetragonal
Energy relative to the lowest polymorph listed for this composition, meV/atom: 330

Cell and atoms, written as CIF:
```
data_ScAlOF2
_cell_length_a 4.090
_cell_length_b 4.090
_cell_length_c 3.571
_cell_angle_alpha 90.00
_cell_angle_beta 90.00
_cell_angle_gamma 90.00
_space_group_name_H-M_alt 'P 4/m m m'
_space_group_IT_number 123
_space_group_name_Hall '-P 4 2'
loop_
_atom_site_label
_atom_site_fract_x
_atom_site_fract_y
_atom_site_fract_z
Sc1 0.000 0.000 0.000
Al1 0.500 0.500 0.500
O1 0.500 0.500 0.000
F1 0.000 0.500 0.500
```


No. 20
CaPm4ErSe8 after structural relaxation. Source: Alexandria, functional PBE.

Values from the calculation:
Uncorrected formation energy, eV per atom: -1.800
Crystal system: trigonal

Cell and atoms, written as CIF:
```
data_CaPm4ErSe8
_cell_length_a 8.6223
_cell_length_b 8.6223
_cell_length_c 20.9439
_cell_angle_alpha 90.00
_cell_angle_beta 90.00
_cell_angle_gamma 120.00
_space_group_name_H-M_alt 'R 3 m'
_space_group_IT_number 160
_space_group_name_Hall 'R 3 -2"'
loop_
_atom_site_label
_atom_site_fract_x
_atom_site_fract_y
_atom_site_fract_z
Ca1 0.0000 0.0000 0.0000
Pm1 0.0000 0.0000 0.2483
Pm2 0.1694 0.3388 0.4569
Er1 0.0000 0.0000 0.6265
Se1 0.0000 0.0000 0.3817
Se2 0.0000 0.0000 0.8662
Se3 0.0277 0.5138 0.3741
Se4 0.1806 0.3611 0.2077
```